No. 1
Computed, not measured: an optimized crystal structure of Li12GaHg3 at the GGA-PBE level of DFT.

## Properties
space-group type: P4/mmm
DOS(E_F): 5.66 states/eV/cell
calculated formation energy: -5.530 kcal/mol of atoms

Cell: 4.1352 4.1352 16.3594 Å, 90.00 90.00 90.00°
Last column: nearest neighbours and their distance in Å.
Fractional positions:
Li: 0.5000 0.5000 0.0000  8 Li 2.87, 4 Ga 2.92
Li: 0.5000 0.5000 0.2481  8 Li 2.92, 4 Hg 2.92
Li: 0.5000 0.5000 0.5000  8 Li 2.92, 4 Hg 2.92
Li: 0.5000 0.5000 0.7519  8 Li 2.92, 4 Hg 2.92
Li: 0.5000 0.0000 0.1218  8 Li 2.87-2.92, 2 Ga 2.87, 2 Hg 2.91
Li: 0.5000 0.0000 0.3737  8 Li 2.92, 4 Hg 2.92-2.93
Li: 0.5000 0.0000 0.6263  8 Li 2.92, 4 Hg 2.92-2.93
Li: 0.5000 0.0000 0.8782  8 Li 2.87-2.92, 2 Ga 2.87, 2 Hg 2.91
Li: 0.0000 0.5000 0.1218  8 Li 2.87-2.92, 2 Ga 2.87, 2 Hg 2.91
Li: 0.0000 0.5000 0.3737  8 Li 2.92, 4 Hg 2.92-2.93
Li: 0.0000 0.5000 0.6263  8 Li 2.92, 4 Hg 2.92-2.93
Li: 0.0000 0.5000 0.8782  8 Li 2.87-2.92, 2 Ga 2.87, 2 Hg 2.91
Ga: 0.0000 0.0000 0.0000  12 Li 2.87-2.92
Hg: 0.0000 0.0000 0.2468  12 Li 2.91-2.93
Hg: 0.0000 0.0000 0.5000  12 Li 2.92
Hg: 0.0000 0.0000 0.7532  12 Li 2.91-2.93



No. 2
Computed, not measured: an optimized crystal structure of YAgP3 at the GGA-PBE level of DFT.

## Properties
relative energy among the computed polymorphs: 411 meV per atom
space-group type: Pm-3m
DOS(E_F): 4.43 states/eV/cell
calculated formation energy: 17.923 kcal/mol of atoms

Cell: 5.2416 5.2416 5.2416 Å, 90.00 90.00 90.00°
Last column: nearest neighbours and their distance in Å.
Fractional positions:
Y: 0.0000 0.0000 0.0000  6 P 2.62
P: 0.0000 0.5000 0.0000  2 Y 2.62
P: 0.0000 0.0000 0.5000  2 Y 2.62
P: 0.5000 0.0000 0.0000  2 Y 2.62
Ag: 0.5000 0.5000 0.5000  12 P 3.71